# 1
Entry from Alexandria: a relaxed Pr8Cd2Tc crystal (PBE).

Cell lengths 9.4760, 9.4760, 9.4760 Å; angles 144.54, 135.33, 58.29 degrees
Sites, in units of the cell vectors:
Pr (0.1358, 0.3748, 0.7611)
Pr (0.1936, 0.1936, 0.0000)
Pr (0.2455, 0.0000, 0.2455)
Pr (0.3863, 0.6252, 0.7611)
Pr (0.6137, 0.3748, 0.2389)
Pr (0.7545, 0.0000, 0.7545)
Pr (0.8064, 0.8064, 0.0000)
Pr (0.8642, 0.6252, 0.2389)
Cd (0.3124, 0.8124, 0.5000)
Cd (0.6876, 0.1876, 0.5000)
Tc (0.0000, 0.5000, 0.5000)

## Properties
Total DFT energy (no corrections): -4.621 eV/atom
Magnetization: 0.00 μB per formula unit


# 2
Entry from Alexandria: a relaxed PrCdTc crystal (PBE).

Cell lengths 7.4188, 7.4188, 5.4575 Å; angles 103.22, 103.22, 30.79 degrees
Sites, in units of the cell vectors:
Pr (0.1221, 0.1221, 0.3132)
Pr (0.8779, 0.8779, 0.6868)
Cd (0.4278, 0.4278, 0.2142)
Cd (0.5722, 0.5722, 0.7858)
Tc (0.2320, 0.2320, 0.8784)
Tc (0.7680, 0.7680, 0.1216)

## Properties
Total DFT energy (no corrections): -5.369 eV/atom
Magnetization: 0.00 μB per formula unit


# 3
Entry from Alexandria: a relaxed Pr3CdTc crystal (PBE).

Cell lengths 5.4691, 5.4691, 5.4691 Å; angles 90.00, 90.00, 90.00 degrees
Sites, in units of the cell vectors:
Pr (0.0000, 0.0000, 0.5000)
Pr (0.0000, 0.5000, 0.0000)
Pr (0.5000, 0.0000, 0.0000)
Cd (0.5000, 0.5000, 0.5000)
Tc (0.0000, 0.0000, 0.0000)

## Properties
Total DFT energy (no corrections): -5.011 eV/atom
Magnetization: 0.00 μB per formula unit


# 4
Entry from Alexandria: a relaxed PrThCdTc crystal (PBE).

Cell lengths 5.2406, 5.2406, 5.2406 Å; angles 60.00, 60.00, 60.00 degrees
Sites, in units of the cell vectors:
Pr (0.0000, 0.0000, 0.0000)
Th (0.5000, 0.5000, 0.5000)
Cd (0.2500, 0.2500, 0.2500)
Tc (0.7500, 0.7500, 0.7500)

## Properties
Total DFT energy (no corrections): -5.826 eV/atom
Magnetization: 0.00 μB per formula unit


| no. | DFT formation energy (eV/atom) |
| --- | --- |
| 1 | -0.037 |
| 2 | -0.015 |
| 3 | 0.112 |
| 4 | 0.044 |